{
  "formula": "Ca2AcAg2",
  "functional": "PBE-GGA",
  "state": "relaxed",
  "total_energy_ry_per_atom": -0.2180,
  "ef_ev_per_atom": -0.203,
  "spacegroup": "P2_1/m, No. 11",
  "polymorph_energy_mev_per_atom": 0,
  "lattice_angstrom": [[3.810, 0.000, 0.000], [0.000, 5.588, 0.000], [-1.895, 0.000, 14.400]],
  "species": ["Ca", "Ca", "Ca", "Ca", "Ac", "Ac", "Ag", "Ag", "Ag", "Ag"],
  "fractional_positions": [[0.044, 0.250, 0.089], [0.227, 0.250, 0.454], [0.773, 0.750, 0.546], [0.956, 0.750, 0.911], [0.137, 0.750, 0.278], [0.863, 0.250, 0.722], [0.365, 0.750, 0.726], [0.456, 0.250, 0.911], [0.544, 0.750, 0.089], [0.635, 0.250, 0.274]]
}